Record 1
VASP calculation (PBE-GGA) on Tl2ReHg after structural relaxation.

Cell: 5.425 5.425 2.991 Å, 90.19 90.19 89.92°
Fractional coordinates of all 4 atoms:
Tl1 0.000 0.500 0.000
Tl2 0.500 0.000 0.000
Re1 0.000 0.000 0.500
Hg1 0.500 0.500 0.500

Summary:
Energy of formation from the pure elements = 0.924 eV per atom

Record 2
VASP calculation (PBE-GGA) on CdSb4Br after structural relaxation.

Cell: 6.440 6.440 6.440 Å, 60.00 60.00 60.00°
Fractional coordinates of all 6 atoms:
Cd1 0.000 0.000 0.000
Sb1 0.160 0.613 0.613
Sb2 0.613 0.160 0.613
Sb3 0.613 0.613 0.160
Sb4 0.613 0.613 0.613
Br1 0.250 0.250 0.250

Summary:
E_form (uncorrected) = 0.150 eV per atom

Record 3
VASP calculation (PBE-GGA) on TlGePd5 after structural relaxation.

Cell: 5.206 5.206 9.345 Å, 103.99 103.99 93.32°
Fractional coordinates of all 14 atoms:
Tl1 0.007 0.993 0.750
Tl2 0.993 0.007 0.250
Ge1 0.500 0.500 0.000
Ge2 0.500 0.500 0.500
Pd1 0.075 0.714 0.456
Pd2 0.120 0.470 0.146
Pd3 0.286 0.925 0.044
Pd4 0.363 0.637 0.750
Pd5 0.470 0.120 0.646
Pd6 0.530 0.880 0.354
Pd7 0.637 0.363 0.250
Pd8 0.714 0.075 0.956
Pd9 0.880 0.530 0.854
Pd10 0.925 0.286 0.544

Summary:
Energy of formation from the pure elements = -0.231 eV per atom

Record 4
VASP calculation (PBE-GGA) on NpSbTe after structural relaxation.

Cell: 5.795 5.795 5.795 Å, 139.84 139.84 58.10°
Fractional coordinates of all 3 atoms:
Np1 0.000 0.000 0.000
Sb1 0.657 0.657 0.000
Te1 0.347 0.347 0.000

Summary:
E_form (uncorrected) = -0.313 eV per atom

Calculated DOS at the Fermi energy in order - 2.97 1.90 7.16 7.91 states/eV/cell
Calculated VASP energy in order - -13.787 -18.176 -69.123 -21.145 eV per cell